# CuNiOsW (PBE-GGA, optimized geometry)
# Magnetization ... 0.002 μB/cell
# Density of states at the Fermi level ... 1.000 states/eV/atom
# ΔE_f ... 0.1807 eV per atom
data_CuNiOsW
_chemical_formula_sum 'Cu4 Ni4 Os4 W4'
_cell_length_a 6.020
_cell_length_b 6.020
_cell_length_c 6.020
_cell_angle_alpha 90.00
_cell_angle_beta 90.00
_cell_angle_gamma 90.00
_symmetry_space_group_name_H-M 'F -4 3 m'
_symmetry_Int_Tables_number 216
_symmetry_space_group_name_Hall 'F -4 2 3'
loop_
_atom_site_label
_atom_site_fract_x
_atom_site_fract_y
_atom_site_fract_z
Cu1 0.000 0.000 0.000
Ni1 0.250 0.250 0.750
Os1 0.250 0.250 0.250
W1 0.000 0.000 0.500